Record 1
## Ho2TaNbGe2 (GGA-PBE)

Data for crystalline Ho2TaNbGe2 at its relaxed geometry.

```
6
Lattice="4.018 0.000 0.000 0.000 4.018 0.000 0.000 0.000 7.812" Properties=species:S:1:pos:R:3 pbc="T T T"
Ho 0.000 2.009 1.154
Ho 2.009 0.000 6.658
Ta 0.000 0.000 3.906
Nb 2.009 2.009 3.906
Ge 0.000 2.009 5.838
Ge 2.009 0.000 1.974
```

## Properties
As for the total energy: -7.343 eV per atom. As for the space group: No. 115.

***

Record 2
## YNbCuAs (GGA-PBE)

Data for crystalline YNbCuAs at its relaxed geometry.

```
16
Lattice="6.660 0.000 0.000 0.000 6.660 0.000 0.000 0.000 6.660" Properties=species:S:1:pos:R:3 pbc="T T T"
Y 0.000 0.000 0.000
Y 0.000 3.330 3.330
Y 3.330 0.000 3.330
Y 3.330 3.330 0.000
Nb 1.665 1.665 1.665
Nb 1.665 4.995 4.995
Nb 4.995 1.665 4.995
Nb 4.995 4.995 1.665
Cu 1.665 1.665 4.995
Cu 1.665 4.995 1.665
Cu 4.995 1.665 1.665
Cu 4.995 4.995 4.995
As 0.000 0.000 3.330
As 0.000 3.330 0.000
As 3.330 0.000 0.000
As 3.330 3.330 3.330
```

## Properties
For the polymorph energy (0 for the lowest one), the calculation gives 0 meV per atom. As for the space group: No. 216.

***

Record 3
## YCoC (GGA-PBE)

Data for crystalline YCoC at its relaxed geometry.

```
6
Lattice="3.622 0.000 0.000 0.000 3.622 0.000 0.000 0.000 6.946" Properties=species:S:1:pos:R:3 pbc="T T T"
Y 0.000 0.000 1.737
Y 0.000 0.000 5.210
Co 1.811 1.811 0.000
Co 1.811 1.811 3.473
C 0.000 1.811 0.000
C 1.811 0.000 3.473
```

## Properties
As for the total energy: -7.908 eV per atom. As for the space group: No. 131.

***

Record 4
## NdTmNp (GGA-PBE)

Data for crystalline NdTmNp at its relaxed geometry.

```
12
Lattice="7.415 0.000 0.000 0.000 7.415 0.000 0.000 0.000 7.415" Properties=species:S:1:pos:R:3 pbc="T T T"
Nd 0.000 0.000 0.000
Nd 0.000 3.707 3.707
Nd 3.707 0.000 3.707
Nd 3.707 3.707 0.000
Tm 1.854 1.854 5.561
Tm 1.854 5.561 1.854
Tm 5.561 1.854 1.854
Tm 5.561 5.561 5.561
Np 1.854 1.854 1.854
Np 1.854 5.561 5.561
Np 5.561 1.854 5.561
Np 5.561 5.561 1.854
```

## Properties
For the polymorph energy (0 for the lowest one), the calculation gives 0 meV per atom. The calculation puts the energy relative to the elements at 26.4 kcal/mol of atoms. As for the space group: No. 216.

***

Record 5
## PdS6F2 (GGA-PBE)

Data for crystalline PdS6F2 at its relaxed geometry.

```
9
Lattice="4.107 0.000 0.000 0.727 6.690 0.000 1.474 2.370 6.519" Properties=species:S:1:pos:R:3 pbc="T T T"
Pd 0.000 0.000 0.000
S 0.713 3.684 1.590
S 1.655 5.572 1.788
S 1.608 2.657 3.102
S 4.701 6.403 3.416
S 4.654 3.488 4.731
S 5.595 5.376 4.929
F 3.200 7.859 5.282
F 3.109 1.201 1.237
```

## Properties
As for the total energy: -4.130 eV per atom. As for the space group: No. 2.

***

Record 6
## YAuO2 (GGA-PBE)

Data for crystalline YAuO2 at its relaxed geometry.

```
8
Lattice="3.705 0.000 0.000 0.000 4.094 0.000 -0.078 0.000 7.917" Properties=species:S:1:pos:R:3 pbc="T T T"
Y 0.886 1.023 2.856
Y 2.741 3.070 5.061
Au 0.869 1.023 6.978
Au 2.758 3.070 0.939
O 0.888 3.070 3.676
O 0.889 3.070 6.499
O 2.738 1.023 1.419
O 2.739 1.023 4.241
```

## Properties
As for the total energy: -6.958 eV per atom. As for the space group: No. 11.

***

Record 7
## HfZn2Au2 (GGA-PBE)

Data for crystalline HfZn2Au2 at its relaxed geometry.

```
10
Lattice="3.731 0.000 0.000 0.000 3.731 0.000 0.000 0.000 12.923" Properties=species:S:1:pos:R:3 pbc="T T T"
Hf 0.000 0.000 0.000
Hf 1.865 1.865 6.462
Zn 0.000 1.865 3.231
Zn 0.000 1.865 9.692
Zn 1.865 0.000 3.231
Zn 1.865 0.000 9.692
Au 0.000 0.000 5.107
Au 0.000 0.000 7.816
Au 1.865 1.865 1.355
Au 1.865 1.865 11.568
```

## Properties
For the polymorph energy (0 for the lowest one), the calculation gives 0 meV per atom. The calculation puts the energy relative to the elements at -5.7 kcal/mol of atoms. As for the space group: No. 139.

***

Record 8
## LiNd2Ir2 (GGA-PBE)

Data for crystalline LiNd2Ir2 at its relaxed geometry.

```
10
Lattice="5.062 -2.762 0.000 5.062 2.762 0.000 -2.367 0.000 7.768" Properties=species:S:1:pos:R:3 pbc="T T T"
Li 3.287 2.051 5.826
Li 4.470 -2.051 1.942
Nd 2.752 0.861 2.733
Nd 6.188 0.861 1.151
Nd 1.569 -0.861 6.617
Nd 5.004 -0.861 5.035
Ir 1.350 1.935 7.674
Ir 5.223 1.935 3.978
Ir 2.534 -1.935 3.790
Ir 6.406 -1.935 0.094
```

## Properties
As for the total energy: -6.358 eV per atom. As for the space group: No. 15.

***

Record 9
## Li4In2NiPd (GGA-PBE)

Data for crystalline Li4In2NiPd at its relaxed geometry.

```
8
Lattice="4.415 0.000 0.000 0.000 4.415 0.000 0.000 0.000 6.261" Properties=species:S:1:pos:R:3 pbc="T T T"
Li 0.000 0.000 0.000
Li 0.000 2.208 4.668
Li 2.208 0.000 1.592
Li 2.208 2.208 3.130
In 0.000 2.208 1.656
In 2.208 0.000 4.604
Ni 0.000 0.000 3.130
Pd 2.208 2.208 0.000
```

## Properties
As for the total energy: -3.334 eV per atom. As for the space group: No. 115.

***

Record 10
## CsTbHgS3 (GGA-PBE)

Data for crystalline CsTbHgS3 at its relaxed geometry.

```
12
Lattice="8.964 0.000 0.000 0.000 4.178 0.000 -3.696 0.000 9.777" Properties=species:S:1:pos:R:3 pbc="T T T"
Cs 1.191 1.045 2.558
Cs 4.076 3.134 7.220
Tb -0.291 3.134 8.500
Tb 5.558 1.045 1.278
Hg -1.481 1.045 6.071
Hg 6.748 3.134 3.706
S -2.196 1.045 8.470
S -0.043 3.134 5.480
S 3.744 3.134 1.369
S 1.523 1.045 8.408
S 5.310 1.045 4.298
S 7.463 3.134 1.308
```

## Properties
As for the total energy: -4.277 eV per atom. As for the space group: No. 11.

***

Record 11
## ErBe13 (GGA-PBE)

Data for crystalline ErBe13 at its relaxed geometry.

```
28
Lattice="0.000 5.075 5.075 5.075 0.000 5.075 5.075 5.075 0.000" Properties=species:S:1:pos:R:3 pbc="T T T"
Er 2.538 2.538 2.538
Er 7.613 7.613 7.613
Be 0.000 0.000 0.000
Be 5.075 3.916 1.793
Be 8.358 5.075 3.916
Be 6.234 1.793 5.075
Be 6.234 5.075 3.282
Be 5.075 3.282 3.916
Be 6.868 3.916 5.075
Be 5.075 6.234 1.793
Be 3.916 1.793 5.075
Be 8.358 5.075 6.234
Be 3.916 5.075 3.282
Be 6.868 6.234 5.075
Be 5.075 3.282 6.234
Be 5.075 5.075 5.075
Be 5.075 6.868 3.916
Be 3.282 3.916 5.075
Be 6.234 5.075 6.868
Be 1.793 5.075 3.916
Be 6.234 8.358 5.075
Be 5.075 3.916 8.358
Be 3.282 6.234 5.075
Be 5.075 6.868 6.234
Be 3.916 5.075 6.868
Be 3.916 8.358 5.075
Be 1.793 5.075 6.234
Be 5.075 6.234 8.358
```

## Properties
As for the total energy: -3.996 eV per atom. As for the space group: No. 226.

***

Record 12
## Cu2Ag3 (GGA-PBE)

Data for crystalline Cu2Ag3 at its relaxed geometry.

```
10
Lattice="1.430 0.825 22.221 -1.430 0.825 22.221 0.000 -1.651 22.221" Properties=species:S:1:pos:R:3 pbc="T T T"
Cu 0.000 0.000 3.396
Cu 0.000 0.000 16.936
Cu 0.000 0.000 49.725
Cu 0.000 0.000 63.266
Ag 0.000 0.000 9.899
Ag 0.000 0.000 23.446
Ag 0.000 0.000 29.682
Ag 0.000 0.000 36.979
Ag 0.000 0.000 43.216
Ag 0.000 0.000 56.763
```

## Properties
For the polymorph energy (0 for the lowest one), the calculation gives 51 meV per atom. The calculation puts the energy relative to the elements at 1.9 kcal/mol of atoms. As for the space group: No. 166.